{
  "formula": "PrFeSe2O8",
  "functional": "PBE with a Hubbard U",
  "state": "optimized geometry",
  "volume_a3_per_atom": 15.656,
  "spacegroup": "P-3m1",
  "dft_energy_ha_per_atom": -0.22120,
  "lattice": [[-5.072, -1.298, -2.033], [4.613, -1.261, -2.945], [0.317, -6.122, 3.118]],
  "species": ["Pr", "Fe", "Se", "Se", "O", "O", "O", "O", "O", "O", "O", "O"],
  "fractional_positions": [[0.000, 0.000, 0.500], [0.000, 0.000, 0.000], [0.333, 0.667, 0.732], [0.667, 0.333, 0.268], [0.157, 0.314, 0.788], [0.157, 0.843, 0.788], [0.686, 0.843, 0.788], [0.314, 0.157, 0.212], [0.667, 0.333, 0.513], [0.333, 0.667, 0.487], [0.843, 0.686, 0.212], [0.843, 0.157, 0.212]]
}